TbPuI4 after structural relaxation. Source: Alexandria via LeMat-Bulk, functional PBE.

POSCAR file:
```
TbPuI4
1.0
-2.982 1.342 -2.684
-3.868 -7.024 4.120
-0.465 6.391 3.711
Tb I Pu
1 4 1
Direct
0.500 0.000 0.500 Tb
0.877 0.755 0.537 I
0.376 0.752 0.051 I
0.123 0.245 0.463 I
0.624 0.248 0.949 I
0.000 0.000 0.000 Pu
```

Properties
- SG = C2/m, No. 12
- energy relative to the elements, uncorrected (eV per atom) = -1.14
- calculated volume (Å³ per atom) = 41.3
- VASP energy (eV/f.u.) = -32.0
- spin magnetization (μB per cell) = 6.7